Record 1
6
Lattice="-0.9776 -2.8645 4.6892 -2.7062 2.4229 4.2373 -5.1976 -1.5911 1.2659" Properties=species:S:1:pos:R:3 comment="Al4CdCl | the Alexandria database | PBE | relaxed" space_group="F-43m, No. 216" raw_formation_energy_ev_per_atom=0.144 dft_energy_ev_per_fu=-16.87 pbc="T T T"
Al -5.9258 -1.5565 4.4566
Al -4.6830 0.4457 5.9388
Al -3.3331 -0.7628 3.8252
Cl 0.0000 0.0000 0.0000
Cd -6.6610 -1.5245 7.6443
Al -3.8208 -2.1917 6.1642

Record 2
6
Lattice="-3.6580 0.7577 2.8335 -2.3997 -3.6275 1.7513 0.3144 -1.0357 4.5621" Properties=species:S:1:pos:R:3 comment="CrNi2 | the Alexandria database | PBE | relaxed" delta_e_f_ev_per_atom=0.18 space_group="Fd-3m, No. 227" dft_energy_ev_per_fu=-20.63 pbc="T T T"
Ni -1.0426 -2.3316 3.1567
Cr -3.1964 -3.7961 6.5868
Ni -2.8716 -1.9527 4.5735
Cr -2.5469 -0.1093 2.5601
Ni -1.1998 -1.8137 0.8757
Ni 0.1572 -0.5178 2.2810

Record 3
4
Lattice="6.5082 0.0076 0.0000 2.8242 5.8635 0.0000 -4.6662 -2.9356 3.4592" Properties=species:S:1:pos:R:3 comment="KLa2Zn | the Alexandria database | PBE | relaxed" delta_e_f_ev_per_atom=0.36 space_group="I-4m2, No. 119" dft_energy_ev_per_fu=-10.81 pbc="T T T"
La 0.0000 0.0000 0.0000
La 1.4121 2.9318 1.7296
Zn 4.6662 2.9356 0.0000
K 3.2541 0.0038 1.7296